1.
# AcHo3Er (GGA-PBE, relaxed)
data_AcHo3Er
_chemical_formula_sum 'Ac2 Ho6 Er2'
_space_group_name_H-M_alt 'P 1'
_space_group_IT_number 1
_cell_length_a 4.868
_cell_length_b 10.178
_cell_length_c 8.563
_cell_angle_alpha 59.59
_cell_angle_beta 90.00
_cell_angle_gamma 103.81
loop_
_space_group_symop_operation_xyz
'x,y,z'
loop_
_atom_site_label
_atom_site_fract_x
_atom_site_fract_y
_atom_site_fract_z
Ac1 0.407 0.847 0.293
Ho1 0.295 0.623 0.036
Ho2 0.749 0.531 0.385
Ho3 0.107 0.248 0.488
Er1 0.210 0.454 0.723
Er2 0.834 0.700 0.699
Ho4 0.466 0.964 0.626
Ho5 0.937 0.906 0.934
Ho6 0.578 0.190 0.796
Ac2 0.637 0.307 0.129
# **Crystal system**: triclinic
# **Space-group type**: P-1, No. 2
# **Energy relative to the elements**: 0.16 eV per atom



2.
# YAl2 (GGA-PBE, relaxed)
data_YAl2
_chemical_formula_sum 'Y4 Al8'
_space_group_name_H-M_alt 'P 1'
_space_group_IT_number 1
_cell_length_a 7.006
_cell_length_b 7.006
_cell_length_c 7.006
_cell_angle_alpha 90.00
_cell_angle_beta 90.00
_cell_angle_gamma 90.00
loop_
_space_group_symop_operation_xyz
'x,y,z'
loop_
_atom_site_label
_atom_site_fract_x
_atom_site_fract_y
_atom_site_fract_z
Al1 0.107 0.893 0.607
Al2 0.107 0.607 0.107
Al3 0.893 0.393 0.893
Al4 0.393 0.393 0.607
Y1 0.000 0.500 0.500
Y2 0.500 0.000 0.500
Al5 0.607 0.607 0.393
Al6 0.393 0.107 0.107
Al7 0.607 0.893 0.893
Y3 0.500 0.500 0.000
Al8 0.893 0.107 0.393
Y4 0.000 0.000 0.000
# **Crystal system**: cubic
# **Space-group type**: Pa-3, No. 205
# **Energy relative to the elements**: 0.61 eV per atom



3.
# Mn2Ir2Rh7 (GGA-PBE, relaxed)
data_Mn2Ir2Rh7
_chemical_formula_sum 'Mn2 Ir2 Rh7'
_space_group_name_H-M_alt 'P 1'
_space_group_IT_number 1
_cell_length_a 6.078
_cell_length_b 4.694
_cell_length_c 6.078
_cell_angle_alpha 81.26
_cell_angle_beta 99.21
_cell_angle_gamma 98.74
loop_
_space_group_symop_operation_xyz
'x,y,z'
loop_
_atom_site_label
_atom_site_fract_x
_atom_site_fract_y
_atom_site_fract_z
Ir1 0.234 0.745 0.766
Mn1 0.190 0.500 0.190
Rh1 0.463 0.232 0.537
Rh2 0.951 0.756 0.403
Rh3 0.537 0.768 0.463
Ir2 0.766 0.255 0.234
Rh4 0.049 0.244 0.597
Rh5 0.597 0.756 0.049
Mn2 0.810 0.500 0.810
Rh6 0.000 0.000 0.000
Rh7 0.403 0.244 0.951
# **Crystal system**: monoclinic
# **Space-group type**: C2/m, No. 12
# **Energy relative to the elements**: 0.21 eV per atom



4.
# Tm2Ag4Au3 (GGA-PBE, relaxed)
data_Tm2Ag4Au3
_chemical_formula_sum 'Tm2 Ag4 Au3'
_space_group_name_H-M_alt 'P 1'
_space_group_IT_number 1
_cell_length_a 4.150
_cell_length_b 5.305
_cell_length_c 9.094
_cell_angle_alpha 74.38
_cell_angle_beta 76.81
_cell_angle_gamma 66.97
loop_
_space_group_symop_operation_xyz
'x,y,z'
loop_
_atom_site_label
_atom_site_fract_x
_atom_site_fract_y
_atom_site_fract_z
Ag1 0.334 0.441 0.890
Ag2 0.998 0.342 0.661
Tm1 0.334 0.105 0.227
Au1 0.000 0.000 0.000
Au2 0.331 0.777 0.561
Ag3 0.002 0.658 0.339
Au3 0.669 0.223 0.439
Ag4 0.666 0.559 0.110
Tm2 0.666 0.895 0.773
# **Crystal system**: monoclinic
# **Space-group type**: C2/m, No. 12
# **Energy relative to the elements**: -0.43 eV per atom



5.
# Sr2In2SnRh5 (GGA-PBE, relaxed)
data_Sr2In2SnRh5
_chemical_formula_sum 'Sr4 In4 Sn2 Rh10'
_space_group_name_H-M_alt 'P 1'
_space_group_IT_number 1
_cell_length_a 3.407
_cell_length_b 10.914
_cell_length_c 10.914
_cell_angle_alpha 90.00
_cell_angle_beta 90.00
_cell_angle_gamma 90.00
loop_
_space_group_symop_operation_xyz
'x,y,z'
loop_
_atom_site_label
_atom_site_fract_x
_atom_site_fract_y
_atom_site_fract_z
Sr1 0.000 0.169 0.331
Rh1 0.500 0.811 0.940
Sr2 0.000 0.831 0.669
Rh2 0.500 0.560 0.689
Sr3 0.000 0.669 0.169
Rh3 0.500 0.500 0.000
Rh4 0.500 0.440 0.311
Rh5 0.500 0.311 0.560
Sr4 0.000 0.331 0.831
In1 0.000 0.868 0.368
In2 0.000 0.368 0.132
Rh6 0.500 0.000 0.500
Rh7 0.500 0.940 0.189
In3 0.000 0.632 0.868
Rh8 0.500 0.189 0.060
Rh9 0.500 0.060 0.811
Sn1 0.000 0.500 0.500
Rh10 0.500 0.689 0.440
Sn2 0.000 0.000 0.000
In4 0.000 0.132 0.632
# **Crystal system**: tetragonal
# **Space-group type**: P4/mbm, No. 127
# **Energy relative to the elements**: -0.32 eV per atom



6.
# U2GaS (GGA-PBE, relaxed)
data_U2GaS
_chemical_formula_sum 'U2 Ga1 S1'
_space_group_name_H-M_alt 'P 1'
_space_group_IT_number 1
_cell_length_a 3.536
_cell_length_b 3.536
_cell_length_c 8.380
_cell_angle_alpha 77.82
_cell_angle_beta 77.82
_cell_angle_gamma 60.00
loop_
_space_group_symop_operation_xyz
'x,y,z'
loop_
_atom_site_label
_atom_site_fract_x
_atom_site_fract_y
_atom_site_fract_z
Ga1 0.500 0.500 0.500
S1 0.000 0.000 0.000
U1 0.260 0.260 0.220
U2 0.740 0.740 0.780
# **Crystal system**: trigonal
# **Space-group type**: R-3m, No. 166
# **E_tot**: -7.885 eV/atom



7.
# Li2FeRh (GGA-PBE, relaxed)
data_Li2FeRh
_chemical_formula_sum 'Li2 Fe1 Rh1'
_space_group_name_H-M_alt 'P 1'
_space_group_IT_number 1
_cell_length_a 3.141
_cell_length_b 3.141
_cell_length_c 5.156
_cell_angle_alpha 90.00
_cell_angle_beta 90.00
_cell_angle_gamma 90.00
loop_
_space_group_symop_operation_xyz
'x,y,z'
loop_
_atom_site_label
_atom_site_fract_x
_atom_site_fract_y
_atom_site_fract_z
Rh1 0.500 0.500 0.250
Li1 0.000 0.000 0.489
Fe1 0.500 0.500 0.750
Li2 0.000 0.000 0.011
# **Crystal system**: tetragonal
# **Space-group type**: P4/mmm, No. 123
# **Energy relative to the elements**: 0.19 eV per atom



8.
# Si2AsP (GGA-PBE, relaxed)
data_Si2AsP
_chemical_formula_sum 'Si2 As1 P1'
_space_group_name_H-M_alt 'P 1'
_space_group_IT_number 1
_cell_length_a 3.510
_cell_length_b 3.510
_cell_length_c 5.665
_cell_angle_alpha 90.00
_cell_angle_beta 90.00
_cell_angle_gamma 90.00
loop_
_space_group_symop_operation_xyz
'x,y,z'
loop_
_atom_site_label
_atom_site_fract_x
_atom_site_fract_y
_atom_site_fract_z
P1 0.500 0.500 0.836
As1 0.000 0.000 0.333
Si1 0.500 0.500 0.429
Si2 0.000 0.000 0.902
# **Crystal system**: tetragonal
# **Space-group type**: P4mm, No. 99
# **E_tot**: -5.151 eV/atom



9.
# Na5TmPb6 (GGA-PBE, relaxed)
data_Na5TmPb6
_chemical_formula_sum 'Na5 Tm1 Pb6'
_space_group_name_H-M_alt 'P 1'
_space_group_IT_number 1
_cell_length_a 4.865
_cell_length_b 9.555
_cell_length_c 7.714
_cell_angle_alpha 90.00
_cell_angle_beta 71.62
_cell_angle_gamma 90.00
loop_
_space_group_symop_operation_xyz
'x,y,z'
loop_
_atom_site_label
_atom_site_fract_x
_atom_site_fract_y
_atom_site_fract_z
Pb1 0.836 0.754 0.328
Na1 0.333 0.500 0.335
Na2 0.000 0.500 0.000
Pb2 0.164 0.754 0.672
Pb3 0.836 0.246 0.328
Na3 0.674 0.000 0.651
Na4 0.667 0.500 0.665
Pb4 0.164 0.246 0.672
Tm1 0.000 0.000 0.000
Na5 0.326 0.000 0.349
Pb5 0.500 0.236 0.000
Pb6 0.500 0.764 0.000
# **Crystal system**: orthorhombic
# **Space-group type**: Cmmm, No. 65
# **Energy relative to the elements**: -0.17 eV per atom



10.
# BaCuHg2Ge (GGA-PBE, relaxed)
data_BaCuHg2Ge
_chemical_formula_sum 'Ba1 Cu1 Hg2 Ge1'
_space_group_name_H-M_alt 'P 1'
_space_group_IT_number 1
_cell_length_a 5.174
_cell_length_b 5.174
_cell_length_c 4.975
_cell_angle_alpha 90.00
_cell_angle_beta 90.00
_cell_angle_gamma 90.00
loop_
_space_group_symop_operation_xyz
'x,y,z'
loop_
_atom_site_label
_atom_site_fract_x
_atom_site_fract_y
_atom_site_fract_z
Ba1 0.500 0.500 0.500
Hg1 0.500 0.000 0.000
Cu1 0.000 0.000 0.000
Hg2 0.000 0.500 0.000
Ge1 0.000 0.000 0.500
# **Crystal system**: tetragonal
# **Space-group type**: P4/mmm, No. 123
# **Energy relative to the elements**: -0.15 eV per atom



11.
# ScSnWN2 (GGA-PBE, relaxed)
data_ScSnWN2
_chemical_formula_sum 'Sc1 Sn1 W1 N2'
_space_group_name_H-M_alt 'P 1'
_space_group_IT_number 1
_cell_length_a 4.067
_cell_length_b 5.448
_cell_length_c 4.067
_cell_angle_alpha 90.00
_cell_angle_beta 90.00
_cell_angle_gamma 90.00
loop_
_space_group_symop_operation_xyz
'x,y,z'
loop_
_atom_site_label
_atom_site_fract_x
_atom_site_fract_y
_atom_site_fract_z
Sn1 0.500 0.500 0.500
Sc1 0.000 0.000 0.000
W1 0.000 0.500 0.000
N1 0.000 0.000 0.500
N2 0.500 0.000 0.000
# **Crystal system**: tetragonal
# **Space-group type**: P4/mmm, No. 123
# **E_tot**: -6.559 eV/atom



12.
# SiTe2NO (GGA-PBE, relaxed)
data_SiTe2NO
_chemical_formula_sum 'Si1 Te2 N1 O1'
_space_group_name_H-M_alt 'P 1'
_space_group_IT_number 1
_cell_length_a 5.393
_cell_length_b 5.393
_cell_length_c 3.241
_cell_angle_alpha 90.00
_cell_angle_beta 90.00
_cell_angle_gamma 90.00
loop_
_space_group_symop_operation_xyz
'x,y,z'
loop_
_atom_site_label
_atom_site_fract_x
_atom_site_fract_y
_atom_site_fract_z
O1 0.500 0.500 0.500
Si1 0.000 0.000 0.000
Te1 0.500 0.000 0.000
Te2 0.000 0.500 0.000
N1 0.000 0.000 0.500
# **Crystal system**: tetragonal
# **Space-group type**: P4/mmm, No. 123
# **E_tot**: -4.370 eV/atom



13.
# Y2TiIn2 (GGA-PBE, relaxed)
data_Y2TiIn2
_chemical_formula_sum 'Y2 Ti1 In2'
_space_group_name_H-M_alt 'P 1'
_space_group_IT_number 1
_cell_length_a 4.363
_cell_length_b 4.363
_cell_length_c 7.694
_cell_angle_alpha 73.53
_cell_angle_beta 73.53
_cell_angle_gamma 90.00
loop_
_space_group_symop_operation_xyz
'x,y,z'
loop_
_atom_site_label
_atom_site_fract_x
_atom_site_fract_y
_atom_site_fract_z
Y1 0.750 0.250 0.500
Ti1 0.000 0.000 0.000
Y2 0.250 0.750 0.500
In1 0.594 0.594 0.813
In2 0.406 0.406 0.187
# **Crystal system**: tetragonal
# **Space-group type**: I4/mmm, No. 139
# **Energy relative to the elements**: 0.27 eV per atom



14.
# Zr2Be2VFe5 (GGA-PBE, relaxed)
data_Zr2Be2VFe5
_chemical_formula_sum 'Zr4 Be4 V2 Fe10'
_space_group_name_H-M_alt 'P 1'
_space_group_IT_number 1
_cell_length_a 3.075
_cell_length_b 8.926
_cell_length_c 8.926
_cell_angle_alpha 90.00
_cell_angle_beta 90.00
_cell_angle_gamma 90.00
loop_
_space_group_symop_operation_xyz
'x,y,z'
loop_
_atom_site_label
_atom_site_fract_x
_atom_site_fract_y
_atom_site_fract_z
Fe1 0.500 0.793 0.934
Zr1 0.000 0.674 0.174
Be1 0.000 0.122 0.622
Zr2 0.000 0.826 0.674
Fe2 0.500 0.066 0.793
Fe3 0.500 0.434 0.293
Be2 0.000 0.878 0.378
Zr3 0.000 0.326 0.826
V1 0.000 0.500 0.500
Be3 0.000 0.622 0.878
V2 0.000 0.000 0.000
Be4 0.000 0.378 0.122
Fe4 0.500 0.500 0.000
Zr4 0.000 0.174 0.326
Fe5 0.500 0.566 0.707
Fe6 0.500 0.293 0.566
Fe7 0.500 0.707 0.434
Fe8 0.500 0.000 0.500
Fe9 0.500 0.207 0.066
Fe10 0.500 0.934 0.207
# **Crystal system**: tetragonal
# **Space-group type**: P4/mbm, No. 127
# **Energy relative to the elements**: -0.19 eV per atom



15.
# Ho6ThIn5 (GGA-PBE, relaxed)
data_Ho6ThIn5
_chemical_formula_sum 'Ho6 Th1 In5'
_space_group_name_H-M_alt 'P 1'
_space_group_IT_number 1
_cell_length_a 5.013
_cell_length_b 8.683
_cell_length_c 9.055
_cell_angle_alpha 118.65
_cell_angle_beta 106.07
_cell_angle_gamma 90.00
loop_
_space_group_symop_operation_xyz
'x,y,z'
loop_
_atom_site_label
_atom_site_fract_x
_atom_site_fract_y
_atom_site_fract_z
Ho1 0.169 0.432 0.338
Th1 0.000 0.000 0.000
Ho2 0.500 0.273 0.000
In1 0.678 0.678 0.356
Ho3 0.831 0.568 0.662
Ho4 0.169 0.906 0.338
Ho5 0.500 0.727 0.000
In2 0.654 0.154 0.308
In3 0.322 0.322 0.644
Ho6 0.831 0.094 0.662
In4 0.000 0.500 0.000
In5 0.346 0.846 0.692
# **Crystal system**: orthorhombic
# **Space-group type**: Immm, No. 71
# **Energy relative to the elements**: -0.35 eV per atom



16.
# HoThTlBi (GGA-PBE, relaxed)
data_HoThTlBi
_chemical_formula_sum 'Ho1 Th1 Tl1 Bi1'
_space_group_name_H-M_alt 'P 1'
_space_group_IT_number 1
_cell_length_a 5.498
_cell_length_b 5.498
_cell_length_c 5.498
_cell_angle_alpha 60.00
_cell_angle_beta 60.00
_cell_angle_gamma 60.00
loop_
_space_group_symop_operation_xyz
'x,y,z'
loop_
_atom_site_label
_atom_site_fract_x
_atom_site_fract_y
_atom_site_fract_z
Bi1 0.750 0.750 0.750
Tl1 0.250 0.250 0.250
Th1 0.000 0.000 0.000
Ho1 0.500 0.500 0.500
# **Crystal system**: cubic
# **Space-group type**: F-43m, No. 216
# **Energy relative to the elements**: -0.29 eV per atom